Below is a geometry-optimized GdSc2Co structure, with properties calculated at the PBE level.

The structure in extended XYZ format:
```
4
Lattice="3.209 0.000 0.000 0.000 3.209 0.000 0.000 0.000 8.431" Properties=species:S:1:pos:R:3 pbc="T T T"
Sc 0.000 0.000 6.934
Sc 0.000 0.000 1.497
Gd 1.605 1.605 4.216
Co 1.605 1.605 0.000
```

Summary:
- E: -34.409 eV per formula unit
- E_form: -0.1399 eV/atom
- Crystal system: tetragonal